# LiTbPrIn | Alexandria | PBE | relaxed
data_LiTbPrIn
_cell_length_a 7.622
_cell_length_b 7.622
_cell_length_c 7.622
_cell_angle_alpha 90.00
_cell_angle_beta 90.00
_cell_angle_gamma 90.00
_space_group_name_H-M_alt 'F -4 3 m'
_space_group_IT_number 216
_space_group_name_Hall 'F -4 2 3'
loop_
_atom_site_label
_atom_site_fract_x
_atom_site_fract_y
_atom_site_fract_z
Li1 0.000 0.000 0.000
Tb1 0.250 0.250 0.750
Pr1 0.250 0.250 0.250
In1 0.000 0.000 0.500
# Total magnetic moment   0.001 Bohr magnetons per cell
# Total DFT energy (no corrections)   -3.78 eV/atom